[1]
DFT (PBE-GGA) results for Mg8SnPb2 after structural relaxation.

a b c (Å): 8.514 8.514 7.272
angles (deg): 104.63 104.63 31.41
Positions (direct):
Mg 0.040 0.040 0.227
Mg 0.137 0.137 0.683
Mg 0.323 0.323 0.586
Mg 0.411 0.411 0.049
Mg 0.589 0.589 0.951
Mg 0.677 0.677 0.414
Mg 0.863 0.863 0.317
Mg 0.960 0.960 0.773
Sn 0.500 0.500 0.500
Pb 0.221 0.221 0.154
Pb 0.779 0.779 0.846

Summary:
density: 4.557 g/cm3
electronic total energy: -2.262 eV per atom
E above lowest polymorph: 0 meV/atom
V: 265 Å³/cell



[2]
DFT (PBE-GGA) results for Mg9Sn2Pb after structural relaxation.

a b c (Å): 4.513 4.513 13.544
angles (deg): 90.00 90.00 90.00
Positions (direct):
Mg 0.000 0.000 0.000
Mg 0.000 0.000 0.336
Mg 0.000 0.000 0.664
Mg 0.000 0.500 0.171
Mg 0.000 0.500 0.500
Mg 0.000 0.500 0.829
Mg 0.500 0.000 0.171
Mg 0.500 0.000 0.500
Mg 0.500 0.000 0.829
Sn 0.500 0.500 0.335
Sn 0.500 0.500 0.665
Pb 0.500 0.500 0.000

Summary:
density: 3.993 g/cm3
electronic total energy: -2.270 eV per atom
V: 276 Å³/cell



[3]
DFT (PBE-GGA) results for Mg4SnPb after structural relaxation.

a b c (Å): 4.850 4.850 8.394
angles (deg): 106.87 106.87 60.03
Positions (direct):
Mg 0.124 0.124 0.373
Mg 0.374 0.374 0.123
Mg 0.626 0.626 0.877
Mg 0.876 0.876 0.627
Sn 0.000 0.000 0.000
Pb 0.500 0.500 0.500

Summary:
density: 4.360 g/cm3
electronic total energy: -2.472 eV per atom
E above lowest polymorph: 0 meV/atom
V: 161 Å³/cell



[4]
DFT (PBE-GGA) results for Mg7Sn2Pb after structural relaxation.

a b c (Å): 11.241 11.241 11.241
angles (deg): 154.81 154.81 35.92
Positions (direct):
Mg 0.000 0.000 0.000
Mg 0.091 0.591 0.500
Mg 0.250 0.750 0.500
Mg 0.409 0.909 0.500
Mg 0.591 0.091 0.500
Mg 0.750 0.250 0.500
Mg 0.909 0.409 0.500
Sn 0.170 0.170 0.000
Sn 0.830 0.830 0.000
Pb 0.500 0.500 0.000

Summary:
density: 3.973 g/cm3
electronic total energy: -2.375 eV per atom
V: 257 Å³/cell



[5]
DFT (PBE-GGA) results for Mg2Sn2Pb after structural relaxation.

a b c (Å): 8.918 8.918 3.288
angles (deg): 90.00 90.00 90.00
Positions (direct):
Mg 0.136 0.364 0.000
Mg 0.364 0.864 0.000
Mg 0.636 0.136 0.000
Mg 0.864 0.636 0.000
Sn 0.159 0.659 0.500
Sn 0.341 0.159 0.500
Sn 0.659 0.841 0.500
Sn 0.841 0.341 0.500
Pb 0.000 0.000 0.500
Pb 0.500 0.500 0.500

Summary:
density: 6.264 g/cm3
electronic total energy: -3.058 eV per atom
E above lowest polymorph: 0 meV/atom
V: 262 Å³/cell



[6]
DFT (PBE-GGA) results for Mg3SnPb12 after structural relaxation.

a b c (Å): 4.850 4.850 20.157
angles (deg): 90.00 90.00 90.00
Positions (direct):
Mg 0.000 0.000 0.000
Mg 0.000 0.000 0.246
Mg 0.000 0.000 0.754
Sn 0.000 0.000 0.500
Pb 0.000 0.500 0.123
Pb 0.000 0.500 0.370
Pb 0.000 0.500 0.630
Pb 0.000 0.500 0.877
Pb 0.500 0.000 0.123
Pb 0.500 0.000 0.370
Pb 0.500 0.000 0.630
Pb 0.500 0.000 0.877
Pb 0.500 0.500 0.000
Pb 0.500 0.500 0.248
Pb 0.500 0.500 0.500
Pb 0.500 0.500 0.752

Summary:
density: 9.380 g/cm3
electronic total energy: -3.323 eV per atom
V: 474 Å³/cell



[7]
DFT (PBE-GGA) results for Mg9SnPb2 after structural relaxation.

a b c (Å): 4.544 4.544 13.640
angles (deg): 90.00 90.00 90.00
Positions (direct):
Mg 0.000 0.000 0.000
Mg 0.000 0.000 0.330
Mg 0.000 0.000 0.670
Mg 0.000 0.500 0.162
Mg 0.000 0.500 0.500
Mg 0.000 0.500 0.838
Mg 0.500 0.000 0.162
Mg 0.500 0.000 0.500
Mg 0.500 0.000 0.838
Sn 0.500 0.500 0.000
Pb 0.500 0.500 0.332
Pb 0.500 0.500 0.668

Summary:
density: 4.433 g/cm3
electronic total energy: -2.219 eV per atom
V: 282 Å³/cell



[8]
DFT (PBE-GGA) results for MgSnPb2 after structural relaxation.

a b c (Å): 5.443 5.443 5.443
angles (deg): 60.00 60.00 60.00
Positions (direct):
Mg 0.000 0.000 0.000
Sn 0.500 0.500 0.500
Pb 0.250 0.250 0.250
Pb 0.750 0.750 0.750

Summary:
density: 8.118 g/cm3
electronic total energy: -3.214 eV per atom
E above lowest polymorph: 33 meV/atom
V: 114 Å³/cell



[9]
DFT (PBE-GGA) results for MgSn2Pb5 after structural relaxation.

a b c (Å): 6.788 6.788 20.500
angles (deg): 90.00 90.00 150.20
Positions (direct):
Mg 0.157 0.843 0.750
Mg 0.843 0.157 0.250
Sn 0.239 0.761 0.141
Sn 0.239 0.761 0.359
Sn 0.761 0.239 0.641
Sn 0.761 0.239 0.859
Pb 0.025 0.975 0.620
Pb 0.025 0.975 0.880
Pb 0.363 0.637 0.512
Pb 0.363 0.637 0.988
Pb 0.416 0.584 0.750
Pb 0.584 0.416 0.250
Pb 0.637 0.363 0.012
Pb 0.637 0.363 0.488
Pb 0.975 0.025 0.120
Pb 0.975 0.025 0.380

Summary:
density: 9.180 g/cm3
electronic total energy: -3.507 eV per atom
V: 470 Å³/cell



[10]
DFT (PBE-GGA) results for Mg3Sn2Pb after structural relaxation.

a b c (Å): 8.553 8.553 3.436
angles (deg): 90.00 90.00 143.45
Positions (direct):
Mg 0.000 0.000 0.000
Mg 0.324 0.676 0.000
Mg 0.676 0.324 0.000
Sn 0.161 0.839 0.500
Sn 0.839 0.161 0.500
Pb 0.500 0.500 0.500

Summary:
density: 5.741 g/cm3
electronic total energy: -2.833 eV per atom
E above lowest polymorph: 10 meV/atom
V: 150 Å³/cell



[11]
DFT (PBE-GGA) results for Mg6SnPb after structural relaxation.

a b c (Å): 4.527 4.527 9.067
angles (deg): 90.00 90.00 90.00
Positions (direct):
Mg 0.000 0.000 0.000
Mg 0.000 0.000 0.500
Mg 0.000 0.500 0.245
Mg 0.000 0.500 0.755
Mg 0.500 0.000 0.245
Mg 0.500 0.000 0.755
Sn 0.500 0.500 0.000
Pb 0.500 0.500 0.500

Summary:
density: 4.216 g/cm3
electronic total energy: -2.244 eV per atom
V: 186 Å³/cell



[12]
DFT (PBE-GGA) results for Mg3Sn2Pb after structural relaxation.

a b c (Å): 3.423 3.423 12.655
angles (deg): 90.00 90.00 90.00
Positions (direct):
Mg 0.000 0.000 0.000
Mg 0.000 0.000 0.326
Mg 0.000 0.000 0.674
Sn 0.500 0.500 0.164
Sn 0.500 0.500 0.836
Pb 0.500 0.500 0.500

Summary:
density: 5.795 g/cm3
electronic total energy: -2.843 eV per atom
E above lowest polymorph: 0 meV/atom
V: 148 Å³/cell